YTlZnTe3 after structural relaxation. Source: the Open Quantum Materials Database, functional PBE.

Results
SG = C2/m (12)
ρ = 6.3 Mg/m³
Final energy = -3.960 eV/atom
Calculated volume = 196 Å³/f.u.
Magnetic moment = 0.0 μB/f.u.
E above lowest polymorph = 0.1394 eV per atom

Cell lengths 9.986, 9.986, 9.351 Å; angles 102.49, 102.49, 25.58 degrees
Element x y z (fractional)
Y (0.173, 0.173, 0.080)
Y (0.827, 0.827, 0.920)
Tl (0.134, 0.134, 0.571)
Tl (0.866, 0.866, 0.429)
Zn (0.469, 0.469, 0.778)
Zn (0.531, 0.531, 0.222)
Te (0.000, 0.000, 0.000)
Te (0.329, 0.329, 0.692)
Te (0.333, 0.333, 0.147)
Te (0.500, 0.500, 0.500)
Te (0.667, 0.667, 0.853)
Te (0.671, 0.671, 0.308)


LiHfScNi after structural relaxation. Source: the Open Quantum Materials Database, functional PBE.

Results
SG = F-43m (216)
ρ = 7.2 Mg/m³
Final energy = -6.033 eV/atom
Calculated volume = 67 Å³/f.u.
Magnetic moment = 0.0 μB/f.u.
E above lowest polymorph = 0.0000 eV per atom

Cell lengths 4.561, 4.561, 4.561 Å; angles 60.00, 60.00, 60.00 degrees
Element x y z (fractional)
Li (0.000, 0.000, 0.000)
Hf (0.250, 0.250, 0.250)
Sc (0.750, 0.750, 0.750)
Ni (0.500, 0.500, 0.500)


TbPuIn after structural relaxation. Source: the Open Quantum Materials Database, functional PBE.

Results
SG = F-43m (216)
ρ = 8.8 Mg/m³
Final energy = -7.044 eV/atom
Calculated volume = 98 Å³/f.u.
Magnetic moment = 6.5 μB/f.u.
E above lowest polymorph = 0.0000 eV per atom

Cell lengths 5.172, 5.172, 5.172 Å; angles 60.00, 60.00, 60.00 degrees
Element x y z (fractional)
Tb (0.000, 0.000, 0.000)
Pu (0.500, 0.500, 0.500)
In (0.750, 0.750, 0.750)


What is the final energy in the first record? -3.960 eV/atom


The lowest ρ belongs to which entry? YTlZnTe3


ρ of number 2 (LiHfScNi)? 7.2 Mg/m³


What is the formula in the first record? YTlZnTe3